The following is a DFT calculation (PBE-GGA) of Dy4PuScS8 after structural relaxation.

The structure in POSCAR format:
```
Dy4PuScS8
1.0
4.050 2.339 6.411
-4.050 2.339 6.411
0.000 -4.677 6.411
Dy Pu Sc S
4 1 1 8
Direct
0.000 0.000 0.000 Dy
0.380 0.380 0.875 Dy
0.380 0.875 0.380 Dy
0.875 0.380 0.380 Dy
0.761 0.761 0.761 Pu
0.381 0.381 0.381 Sc
0.136 0.136 0.136 S
0.143 0.143 0.601 S
0.143 0.601 0.143 S
0.167 0.610 0.610 S
0.601 0.143 0.143 S
0.610 0.167 0.610 S
0.610 0.610 0.167 S
0.621 0.621 0.621 S
```

The calculation puts the electronic total energy at -98.1 eV for the cell shown. The value obtained for the total moment is 6.35 μB per formula unit. The density of states at the Fermi level is 18.7 states/eV/f.u.